Entry 1:
# PBE Mg2TcOs, relaxed
data_Mg2TcOs
_chemical_formula_sum 'Mg2 Tc1 Os1'
_cell_length_a 9.329
_cell_length_b 9.329
_cell_length_c 9.329
_cell_angle_alpha 17.35
_cell_angle_beta 17.35
_cell_angle_gamma 17.35
_symmetry_space_group_name_H-M 'P 1'
_symmetry_Int_Tables_number 1
loop_
_symmetry_equiv_pos_as_xyz
'x,y,z'
loop_
_atom_site_label
_atom_site_type_symbol
_atom_site_fract_x
_atom_site_fract_y
_atom_site_fract_z
Mg1 Mg 0.249 0.249 0.249
Mg2 Mg 0.751 0.751 0.751
Tc1 Tc 0.000 0.000 0.000
Os1 Os 0.500 0.500 0.500
# Symmetry: R-3m
# D(E_F): 0.96 states/eV per atom
# Crystal system: trigonal
# E_form: 0.281 eV/atom
# Excess energy over the best structure of this formula in the dataset: 264 meV/atom

Entry 2:
# PBE HfMn, relaxed
data_HfMn
_chemical_formula_sum 'Hf3 Mn3'
_cell_length_a 6.640
_cell_length_b 6.640
_cell_length_c 6.640
_cell_angle_alpha 153.07
_cell_angle_beta 57.55
_cell_angle_gamma 130.17
_symmetry_space_group_name_H-M 'P 1'
_symmetry_Int_Tables_number 1
loop_
_symmetry_equiv_pos_as_xyz
'x,y,z'
loop_
_atom_site_label
_atom_site_type_symbol
_atom_site_fract_x
_atom_site_fract_y
_atom_site_fract_z
Hf1 Hf 0.000 0.000 0.000
Hf2 Hf 0.529 0.236 0.293
Hf3 Hf 0.943 0.236 0.707
Mn1 Mn 0.172 0.787 0.385
Mn2 Mn 0.402 0.787 0.615
Mn3 Mn 0.523 0.523 0.000
# Symmetry: Imm2
# D(E_F): 1.11 states/eV per atom
# Crystal system: orthorhombic
# E_form: 0.084 eV/atom

Entry 3:
# PBE OsCl, relaxed
data_OsCl
_chemical_formula_sum 'Os2 Cl2'
_cell_length_a 3.691
_cell_length_b 3.691
_cell_length_c 8.866
_cell_angle_alpha 91.15
_cell_angle_beta 91.15
_cell_angle_gamma 60.00
_symmetry_space_group_name_H-M 'P 1'
_symmetry_Int_Tables_number 1
loop_
_symmetry_equiv_pos_as_xyz
'x,y,z'
loop_
_atom_site_label
_atom_site_type_symbol
_atom_site_fract_x
_atom_site_fract_y
_atom_site_fract_z
Os1 Os 0.165 0.165 0.440
Os2 Os 0.835 0.835 0.560
Cl1 Cl 0.157 0.157 0.188
Cl2 Cl 0.843 0.843 0.812
# Formation energy without anion corrections: 124 meV per atom
# Symmetry: C2/m
# D(E_F): 0.36 states/eV per atom
# Crystal system: monoclinic
# Excess energy over the best structure of this formula in the dataset: 0 meV/atom

Entry 4:
# PBE BaCu2Ru, relaxed
data_BaCu2Ru
_chemical_formula_sum 'Ba1 Cu2 Ru1'
_cell_length_a 3.240
_cell_length_b 3.251
_cell_length_c 7.379
_cell_angle_alpha 90.00
_cell_angle_beta 90.00
_cell_angle_gamma 90.00
_symmetry_space_group_name_H-M 'P 1'
_symmetry_Int_Tables_number 1
loop_
_symmetry_equiv_pos_as_xyz
'x,y,z'
loop_
_atom_site_label
_atom_site_type_symbol
_atom_site_fract_x
_atom_site_fract_y
_atom_site_fract_z
Ba1 Ba 0.000 0.000 0.000
Cu1 Cu 0.000 0.000 0.499
Cu2 Cu 0.500 0.500 0.337
Ru1 Ru 0.500 0.500 0.677
# Symmetry: Pmm2
# D(E_F): 1.12 states/eV per atom
# Crystal system: orthorhombic
# E_form: 0.556 eV/atom
# Excess energy over the best structure of this formula in the dataset: 356 meV/atom